! Sc2TlCu3S5 PBE relaxed; values from VASP
&SYSTEM
  ibrav = 0, nat = 22, ntyp = 4
/
ATOMIC_SPECIES
Sc 44.96 Sc.upf
Tl 204.38 Tl.upf
Cu 63.55 Cu.upf
S 32.06 S.upf
ATOMIC_POSITIONS angstrom
Sc 1.904 4.224 9.360
Sc 1.904 4.224 14.283
Sc 1.904 -4.224 1.479
Sc 1.904 -4.224 6.402
Tl 1.904 5.925 3.940
Tl 1.904 -5.925 11.821
Cu 1.904 2.008 3.940
Cu 1.904 1.159 8.514
Cu 1.904 1.159 15.128
Cu 1.904 -1.159 0.633
Cu 1.904 -1.159 7.248
Cu 1.904 -2.008 11.821
S 1.904 4.465 1.098
S 1.904 4.465 6.783
S 1.904 3.539 11.821
S 1.904 0.891 1.784
S 1.904 0.891 6.097
S 1.904 -0.891 9.665
S 1.904 -0.891 13.978
S 1.904 -3.539 3.940
S 1.904 -4.465 8.979
S 1.904 -4.465 14.664
CELL_PARAMETERS angstrom
1.904 -6.858 0.000
1.904 6.858 0.000
0.000 0.000 15.762
! Raw formation energy ... -1.03 eV/atom
! SG ... Cmcm (63)